{
  "formula": "Al4CoTc",
  "functional": "PBE",
  "state": "optimized geometry",
  "lattice": [[-2.685, -0.249, -5.014], [3.768, -3.858, -1.826], [-3.502, -4.412, 2.095]],
  "species": ["Al", "Al", "Al", "Al", "Al", "Al", "Al", "Al", "Co", "Co", "Tc", "Tc"],
  "fractional_positions": [[0.750, 0.750, 0.236], [0.750, 0.250, 0.764], [0.250, 0.250, 0.236], [0.250, 0.750, 0.764], [0.250, 0.250, 0.764], [0.250, 0.750, 0.236], [0.750, 0.750, 0.764], [0.750, 0.250, 0.236], [0.000, 0.000, 0.000], [0.500, 0.500, 0.000], [0.500, 0.000, 0.500], [0.000, 0.500, 0.500]],
  "magmom_total_mub_per_fu": 0.03,
  "de_polymorph_mev_per_atom": 0.0,
  "delta_e_f_ev_per_fu": -0.79,
  "sg": "P4/mmm (123)"
}

***

{
  "formula": "LaRePb2",
  "functional": "PBE",
  "state": "optimized geometry",
  "lattice": [[3.601, 0.000, 0.000], [0.000, 3.611, 0.032], [0.000, 3.531, 8.076]],
  "species": ["La", "Pb", "Pb", "Re"],
  "fractional_positions": [[0.500, 0.796, 0.703], [0.000, 0.966, 0.034], [0.500, 0.203, 0.297], [0.000, 0.535, 0.466]],
  "magmom_total_mub_per_fu": 0.00,
  "de_polymorph_mev_per_atom": 65.9,
  "delta_e_f_ev_per_fu": 1.48,
  "sg": "Pm (6)"
}

***

{
  "formula": "Ta4Pt2N",
  "functional": "PBE",
  "state": "optimized geometry",
  "lattice": [[-1.250, 0.773, 2.722], [-2.081, -6.864, 0.994], [8.644, -1.965, 4.527]],
  "species": ["Ta", "Ta", "Ta", "Ta", "Ta", "Ta", "Ta", "Ta", "Pt", "Pt", "Pt", "Pt", "N", "N"],
  "fractional_positions": [[0.000, 0.640, 0.807], [0.000, 0.360, 0.193], [0.000, 0.140, 0.693], [0.000, 0.860, 0.307], [0.500, 0.820, 0.576], [0.500, 0.180, 0.424], [0.500, 0.680, 0.076], [0.500, 0.320, 0.924], [0.500, 0.943, 0.871], [0.500, 0.057, 0.129], [0.500, 0.443, 0.629], [0.500, 0.557, 0.371], [0.000, 0.000, 0.500], [0.000, 0.500, 0.000]],
  "magmom_total_mub_per_fu": 0.00,
  "raw_formation_energy_ev_per_atom": -0.5980,
  "sg": "Pbam (55)"
}